Entry 1:
VASP calculation (PBE-GGA) on crystalline Sm2HoSn2 at its relaxed geometry.

Unit cell a=5.041 b=6.531 c=9.487 alpha=90.00 beta=105.41 gamma=90.00
Fractional coordinates of all 10 atoms:
Sm1 0.000 0.727 0.000
Sm2 0.808 0.476 0.615
Sm3 0.192 0.976 0.385
Sm4 0.000 0.227 0.000
Ho1 0.396 0.977 0.793
Ho2 0.604 0.477 0.207
Sn1 0.425 0.477 0.849
Sn2 0.809 0.976 0.619
Sn3 0.191 0.476 0.381
Sn4 0.575 0.977 0.151

The value obtained for the total energy is -50.343 eV for the cell shown. As for the density: 7.8 g/cm3. As for the crystal system: orthorhombic. The excess energy over the best structure of this formula in the dataset comes out at 0.37 eV/f.u. The calculation puts the formation energy at -0.630 eV/atom. Its space group is No. 36.

***

Entry 2:
VASP calculation (PBE-GGA) on crystalline Sm3HoSn at its relaxed geometry.

Unit cell a=5.686 b=6.708 c=8.460 alpha=90.00 beta=109.64 gamma=90.00
Fractional coordinates of all 10 atoms:
Sm1 0.190 0.002 0.381
Sm2 0.810 0.502 0.619
Sm3 0.810 0.998 0.619
Sm4 0.190 0.498 0.381
Sm5 0.585 0.250 0.171
Sm6 0.415 0.750 0.829
Ho1 0.015 0.750 0.029
Ho2 0.985 0.250 0.971
Sn1 0.376 0.250 0.752
Sn2 0.624 0.750 0.248

The value obtained for the total energy is -47.888 eV for the cell shown. As for the density: 8.0 g/cm3. As for the crystal system: orthorhombic. The calculation puts the formation energy at -0.241 eV/atom. Its space group is No. 63.

***

Entry 3:
VASP calculation (PBE-GGA) on crystalline SmHoSn6 at its relaxed geometry.

Unit cell a=4.725 b=4.725 c=9.487 alpha=90.00 beta=90.00 gamma=90.00
Fractional coordinates of all 8 atoms:
Sm1 0.000 0.000 0.000
Ho1 0.000 0.000 0.500
Sn1 0.500 0.500 0.000
Sn2 0.500 0.500 0.500
Sn3 0.500 0.000 0.254
Sn4 0.500 0.000 0.746
Sn5 0.000 0.500 0.254
Sn6 0.000 0.500 0.746

The value obtained for the total energy is -36.837 eV for the cell shown. As for the density: 8.1 g/cm3. As for the crystal system: tetragonal. The calculation puts the formation energy at -0.440 eV/atom. Its space group is No. 123.

***

Entry 4:
VASP calculation (PBE-GGA) on crystalline SmHo3Sn3 at its relaxed geometry.

Unit cell a=5.397 b=9.149 c=9.149 alpha=120.00 beta=90.00 gamma=90.00
Fractional coordinates of all 14 atoms:
Sm1 0.250 0.667 0.333
Sm2 0.750 0.333 0.667
Ho1 0.250 0.766 0.761
Ho2 0.250 0.239 0.004
Ho3 0.250 0.996 0.234
Ho4 0.750 0.234 0.239
Ho5 0.750 0.761 0.996
Ho6 0.750 0.004 0.766
Sn1 0.750 0.624 0.549
Sn2 0.750 0.451 0.074
Sn3 0.750 0.926 0.376
Sn4 0.250 0.376 0.451
Sn5 0.250 0.549 0.926
Sn6 0.250 0.074 0.624

The value obtained for the total energy is -68.435 eV for the cell shown. As for the density: 8.5 g/cm3. As for the crystal system: hexagonal. The calculation puts the formation energy at -0.537 eV/atom. Its space group is No. 176.

***

Entry 5:
VASP calculation (PBE-GGA) on crystalline Sm5HoSn4 at its relaxed geometry.

Unit cell a=5.357 b=7.235 c=11.201 alpha=129.79 beta=103.83 gamma=90.00
Fractional coordinates of all 10 atoms:
Sm1 0.833 0.673 0.667
Sm2 0.834 0.164 0.668
Sm3 0.166 0.836 0.332
Sm4 0.500 0.500 0.000
Sm5 0.167 0.327 0.333
Ho1 0.500 0.000 0.000
Sn1 0.326 0.900 0.651
Sn2 0.992 0.739 0.984
Sn3 0.674 0.100 0.349
Sn4 0.008 0.261 0.016

The value obtained for the total energy is -49.629 eV for the cell shown. As for the density: 7.3 g/cm3. As for the crystal system: monoclinic. The calculation puts the formation energy at -0.544 eV/atom. Its space group is No. 12.

***

Entry 6:
VASP calculation (PBE-GGA) on crystalline SmHo2Sn2 at its relaxed geometry.

Unit cell a=5.221 b=5.221 c=6.622 alpha=66.78 beta=66.78 gamma=59.99
Fractional coordinates of all 5 atoms:
Sm1 0.000 0.500 0.000
Ho1 0.208 0.708 0.375
Ho2 0.792 0.292 0.625
Sn1 0.590 0.090 0.231
Sn2 0.410 0.910 0.769

The value obtained for the total energy is -24.728 eV for the cell shown. As for the density: 8.6 g/cm3. As for the crystal system: trigonal. The calculation puts the formation energy at -0.570 eV/atom. Its space group is No. 166.

***

Entry 7:
VASP calculation (PBE-GGA) on crystalline Sm4Ho3Sn4 at its relaxed geometry.

Unit cell a=3.537 b=9.602 c=10.777 alpha=116.46 beta=99.45 gamma=90.00
Fractional coordinates of all 11 atoms:
Sm1 0.337 0.159 0.674
Sm2 0.663 0.485 0.326
Sm3 0.663 0.841 0.326
Sm4 0.337 0.515 0.674
Ho1 0.091 0.091 0.182
Ho2 0.909 0.909 0.818
Ho3 0.000 0.500 0.000
Sn1 0.275 0.775 0.550
Sn2 0.725 0.225 0.450
Sn3 0.500 0.779 0.000
Sn4 0.500 0.221 0.000

The value obtained for the total energy is -54.593 eV for the cell shown. As for the density: 8.1 g/cm3. As for the crystal system: orthorhombic. The calculation puts the formation energy at -0.543 eV/atom. Its space group is No. 71.

***

Entry 8:
VASP calculation (PBE-GGA) on crystalline SmHoSn2 at its relaxed geometry.

Unit cell a=4.488 b=4.890 c=4.890 alpha=90.00 beta=90.00 gamma=90.00
Fractional coordinates of all 4 atoms:
Ho1 0.500 0.500 0.500
Sm1 0.500 0.000 0.000
Sn1 0.000 0.000 0.500
Sn2 0.000 0.500 0.000

The value obtained for the total energy is -19.822 eV for the cell shown. As for the density: 8.6 g/cm3. As for the crystal system: tetragonal. The calculation puts the formation energy at -0.630 eV/atom. Its space group is No. 123.

***

Entry 9:
VASP calculation (PBE-GGA) on crystalline Sm4HoSn4 at its relaxed geometry.

Unit cell a=6.369 b=9.485 c=9.485 alpha=90.00 beta=90.00 gamma=90.00
Fractional coordinates of all 18 atoms:
Sm1 0.370 0.290 0.918
Sm2 0.870 0.582 0.790
Sm3 0.370 0.710 0.082
Sm4 0.130 0.210 0.582
Sm5 0.630 0.918 0.710
Sm6 0.130 0.790 0.418
Sm7 0.870 0.418 0.210
Sm8 0.630 0.082 0.290
Ho1 0.000 0.000 0.000
Ho2 0.500 0.500 0.500
Sn1 0.635 0.774 0.392
Sn2 0.635 0.226 0.608
Sn3 0.135 0.892 0.726
Sn4 0.865 0.274 0.892
Sn5 0.865 0.726 0.108
Sn6 0.365 0.392 0.226
Sn7 0.365 0.608 0.774
Sn8 0.135 0.108 0.274

The value obtained for the total energy is -87.247 eV for the cell shown. As for the density: 7.2 g/cm3. As for the crystal system: tetragonal. The calculation puts the formation energy at -0.462 eV/atom. Its space group is No. 86.

***

Entry 10:
VASP calculation (PBE-GGA) on crystalline SmHo2Sn at its relaxed geometry.

Unit cell a=3.512 b=3.512 c=12.113 alpha=81.67 beta=81.67 gamma=60.00
Fractional coordinates of all 4 atoms:
Ho1 0.087 0.087 0.740
Ho2 0.913 0.913 0.260
Sm1 0.500 0.500 0.500
Sn1 0.000 0.000 0.000

The value obtained for the total energy is -17.676 eV for the cell shown. As for the density: 7.8 g/cm3. As for the crystal system: trigonal. The excess energy over the best structure of this formula in the dataset comes out at 1.87 eV/f.u. The calculation puts the formation energy at 0.050 eV/atom. Its space group is No. 166.

***

Q: Look up the density of the fourth one.
A: 8.5 g/cm3